Entry 1:
DFT (PBE) results for a relaxed structure of TbScAu.

Cell and atoms, written as POSCAR:
```
TbScAu
1.0
6.6314 0.0000 0.0000
0.0000 6.6314 0.0000
0.0000 0.0000 6.6314
Tb Sc Au
4 4 4
Direct
0.0000 0.0000 0.0000
0.0000 0.5000 0.5000
0.5000 0.0000 0.5000
0.5000 0.5000 0.0000
0.2500 0.2500 0.7500
0.2500 0.7500 0.2500
0.7500 0.2500 0.2500
0.7500 0.7500 0.7500
0.0000 0.0000 0.5000
0.0000 0.5000 0.0000
0.5000 0.0000 0.0000
0.5000 0.5000 0.5000
```

Summary:
* crystal system: cubic
* space group: F-43m
* total energy: -4.679 eV/atom
* magnetization: 0.0 μB per formula unit
* ρ: 9.13 Mg/m³

Entry 2:
DFT (PBE) results for a relaxed structure of Sc2TcAu.

Cell and atoms, written as POSCAR:
```
Sc2TcAu
1.0
3.3222 0.0000 0.0000
0.0000 3.3222 0.0000
0.0000 0.0000 6.5110
Sc Tc Au
2 1 1
Direct
0.0000 0.0000 0.2315
0.0000 0.0000 0.7685
0.5000 0.5000 0.0000
0.5000 0.5000 0.5000
```

Summary:
* crystal system: tetragonal
* space group: P4/mmm
* total energy: -7.133 eV/atom
* magnetization: 0.0 μB per formula unit
* energy above the lowest structure with this stoichiometry: 0.000 eV/atom
* ρ: 8.89 Mg/m³

Entry 3:
DFT (PBE) results for a relaxed structure of ScTc2Au.

Cell and atoms, written as POSCAR:
```
ScTc2Au
1.0
6.4023 0.0000 0.0000
0.0000 6.4023 0.0000
0.0000 0.0000 6.4023
Sc Tc Au
4 8 4
Direct
0.0000 0.0000 0.0000
0.0000 0.5000 0.5000
0.5000 0.0000 0.5000
0.5000 0.5000 0.0000
0.0000 0.0000 0.5000
0.0000 0.5000 0.0000
0.2500 0.2500 0.2500
0.2500 0.7500 0.7500
0.5000 0.0000 0.0000
0.5000 0.5000 0.5000
0.7500 0.2500 0.7500
0.7500 0.7500 0.2500
0.2500 0.2500 0.7500
0.2500 0.7500 0.2500
0.7500 0.2500 0.2500
0.7500 0.7500 0.7500
```

Summary:
* crystal system: cubic
* space group: F-43m
* total energy: -7.619 eV/atom
* magnetization: 0.0 μB per formula unit
* ρ: 11.08 Mg/m³

Entry 4:
DFT (PBE) results for a relaxed structure of Sc2TcAu.

Cell and atoms, written as POSCAR:
```
Sc2TcAu
1.0
4.5806 0.0000 0.0000
0.0000 4.5806 0.0000
0.0000 0.0000 3.4076
Sc Tc Au
2 1 1
Direct
0.0000 0.5000 0.0000
0.5000 0.0000 0.0000
0.0000 0.0000 0.5000
0.5000 0.5000 0.5000
```

Summary:
* crystal system: tetragonal
* space group: P4/mmm
* total energy: -7.069 eV/atom
* magnetization: 0.0 μB per formula unit
* energy above the lowest structure with this stoichiometry: 0.064 eV/atom
* ρ: 8.94 Mg/m³

Entry 5:
DFT (PBE) results for a relaxed structure of ScTcAu.

Cell and atoms, written as POSCAR:
```
ScTcAu
1.0
3.2962 0.0000 0.0000
0.0000 3.2962 0.0000
0.0000 0.0000 9.4695
Sc Tc Au
2 2 2
Direct
0.2500 0.2500 0.2503
0.7500 0.7500 0.7497
0.2500 0.2500 0.5705
0.7500 0.7500 0.4295
0.2500 0.2500 0.9092
0.7500 0.7500 0.0908
```

Summary:
* crystal system: tetragonal
* space group: P4/nmm
* total energy: -7.050 eV/atom
* magnetization: 0.0 μB per formula unit
* energy above the lowest structure with this stoichiometry: 0.000 eV/atom
* ρ: 10.97 Mg/m³

Entry 6:
DFT (PBE) results for a relaxed structure of Sc2TcAu.

Cell and atoms, written as POSCAR:
```
Sc2TcAu
1.0
4.6525 0.0000 0.0000
0.0000 4.6525 0.0000
0.0000 0.0000 6.5652
Sc Tc Au
4 2 2
Direct
0.0000 0.5000 0.2500
0.0000 0.5000 0.7500
0.5000 0.0000 0.2500
0.5000 0.0000 0.7500
0.0000 0.0000 0.0000
0.5000 0.5000 0.5000
0.0000 0.0000 0.5000
0.5000 0.5000 0.0000
```

Summary:
* crystal system: tetragonal
* space group: I4/mmm
* total energy: -7.076 eV/atom
* magnetization: 0.0 μB per formula unit
* energy above the lowest structure with this stoichiometry: 0.057 eV/atom
* ρ: 8.99 Mg/m³